Entry 1:
Density functional theory data (PBE) for crystalline RbNa2YBr6 at its relaxed geometry.

POSCAR file:
```
RbNa2YBr6
1.0
-6.9135 -0.3210 -3.2894
-0.7488 -2.8585 -7.0709
-3.5349 -7.4529 -0.7635
Rb Na Y Br
1 2 1 6
Direct
0.8049 0.8047 0.5856
0.5196 0.5197 0.4410
0.0037 0.0038 0.9887
0.3261 0.3261 0.0217
0.5742 0.2508 0.2315
0.2509 0.9436 0.2314
0.9435 0.5742 0.2313
0.3522 0.7216 0.7614
0.7215 0.1649 0.7613
0.1650 0.3521 0.7612
```

Values from the calculation:
Density of states at the Fermi level   0.00 states/eV/cell
Volume   356.3 Å³/cell
SG   R3, No. 146
Magnetic moment   0.000 μB per atom
Formation energy without anion corrections   -1730 meV per atom

***

Entry 2:
Density functional theory data (PBE) for crystalline Rb3Na3ZnBr8 at its relaxed geometry.

POSCAR file:
```
Rb3Na3ZnBr8
1.0
8.7799 0.0000 0.0000
-4.3899 7.6105 -0.0266
0.0000 -5.0483 7.8918
Rb Na Zn Br
3 3 1 8
Direct
0.0000 0.0000 0.0000
0.0000 0.5000 0.0000
0.5000 0.5000 0.0000
0.5000 0.0000 0.5000
0.5000 0.5000 0.5000
0.0000 0.5000 0.5000
0.0000 0.0000 0.5000
0.2630 0.5260 0.2894
0.7370 0.4740 0.7106
0.7882 0.5764 0.3096
0.2118 0.4236 0.6904
0.7880 0.0212 0.3095
0.2120 0.9788 0.6905
0.2332 0.0212 0.3095
0.7668 0.9788 0.6905
```

Values from the calculation:
Density of states at the Fermi level   0.00 states/eV/cell
Volume   526.1 Å³/cell
SG   C2/m, No. 12
Magnetic moment   0.000 μB per atom
Formation energy without anion corrections   -1454 meV per atom

***

Entry 3:
Density functional theory data (PBE) for crystalline RbNa3Zn4Br12 at its relaxed geometry.

POSCAR file:
```
RbNa3Zn4Br12
1.0
9.4730 -0.0512 -0.0711
-2.3321 9.1816 -0.0711
-2.3321 -2.9818 8.6842
Rb Na Zn Br
1 3 4 12
Direct
0.0000 0.0000 0.0000
0.5510 0.4490 0.0000
0.4490 0.0000 0.5510
0.0000 0.5510 0.4490
0.9424 0.0576 0.5000
0.0576 0.5000 0.9424
0.5000 0.9424 0.0576
0.5000 0.5000 0.5000
0.5000 0.3435 0.6565
0.9005 0.5000 0.0995
0.0995 0.9005 0.5000
0.5000 0.0995 0.9005
0.3435 0.9517 0.2143
0.2143 0.3435 0.9517
0.9517 0.2143 0.3435
0.6565 0.7857 0.0483
0.0483 0.6565 0.7857
0.7857 0.0483 0.6565
0.6565 0.5000 0.3435
0.3435 0.6565 0.5000
```

Values from the calculation:
Density of states at the Fermi level   0.00 states/eV/cell
Volume   750.3 Å³/cell
SG   R32, No. 155
Magnetic moment   0.000 μB per atom
Formation energy without anion corrections   -1124 meV per atom

***

Entry 4:
Density functional theory data (PBE) for crystalline RbNa2ZrBr8 at its relaxed geometry.

POSCAR file:
```
RbNa2ZrBr8
1.0
7.1011 -0.0720 -0.0030
-0.0900 6.1605 0.0031
0.0080 0.0227 9.7442
Rb Na Zr Br
1 2 1 8
Direct
0.0000 0.0000 0.5000
0.5001 0.4994 0.7750
0.4999 0.5006 0.2250
0.0000 0.0000 0.0000
0.1436 0.7566 0.1961
0.6826 0.7601 0.9994
0.8548 0.2417 0.1954
0.8564 0.2434 0.8039
0.3174 0.2399 0.0006
0.1452 0.7583 0.8046
0.5140 0.7505 0.4999
0.4860 0.2495 0.5001
```

Values from the calculation:
Density of states at the Fermi level   1.53 states/eV/cell
Volume   426.2 Å³/cell
SG   P-1, No. 2
Magnetic moment   0.017 μB per atom
Formation energy without anion corrections   -1348 meV per atom